Entry from the Alexandria database: a relaxed structure of PaOsAu (PBE).

Spin magnetization = 0.0 Bohr magnetons per cell
Space-group type = No. 12
Formation energy from the elements = -24 kJ per mole of atoms

Lattice parameters (Å, degrees): 4.9912 4.9912 7.4762 96.52 96.52 43.33
Closest atoms and distances in Å follow each position.
Fractional positions:
1 Pa 0.0388 0.0388 0.2252  4 Os 2.86-2.87, 3 Au 3.09-3.10
2 Pa 0.9612 0.9612 0.7748  4 Os 2.86-2.87, 3 Au 3.09-3.10
3 Os 0.3492 0.3492 0.0159  3 Os 2.59-2.84, 4 Pa 2.86-2.87
4 Os 0.6508 0.6508 0.9841  3 Os 2.59-2.84, 4 Pa 2.86-2.87
5 Au 0.3493 0.3493 0.4327  3 Au 2.85-2.87, 3 Pa 3.09-3.10, 1 Os 3.12
6 Au 0.6507 0.6507 0.5673  3 Au 2.85-2.87, 3 Pa 3.09-3.10, 1 Os 3.12